DFT (GGA-PBE) results for a relaxed structure of La4TlCoPb.

POSCAR file:
```
La4TlCoPb
1.0
7.2340 0.0000 0.0000
0.0000 7.2158 0.0000
-3.6170 0.0000 8.6930
La Tl Co Pb
8 2 2 2
direct
0.9259 0.2500 0.8518
0.4244 0.7500 0.8488
0.0741 0.7500 0.1482
0.5756 0.2500 0.1512
0.5000 0.5000 0.5000
0.0000 0.0000 0.5000
0.5000 0.0000 0.5000
0.0000 0.5000 0.5000
0.1120 0.2500 0.2239
0.8880 0.7500 0.7761
0.2443 0.7500 0.4885
0.7557 0.2500 0.5115
0.6106 0.7500 0.2211
0.3894 0.2500 0.7789
```

Summary:
The space group is Cmcm (63).



DFT (GGA-PBE) results for a relaxed structure of LaTlCoPb2.

POSCAR file:
```
LaTlCoPb2
1.0
5.7511 0.0000 0.0000
0.0000 4.8770 0.0000
0.0000 0.0000 5.7511
Pb Tl Co La
2 1 1 1
direct
0.0000 0.0000 0.5000
0.5000 0.0000 0.0000
0.0000 0.0000 0.0000
0.0000 0.5000 0.0000
0.5000 0.5000 0.5000
```

Summary:
The space group is P4/mmm (123).



DFT (GGA-PBE) results for a relaxed structure of LaTlCoPb2.

POSCAR file:
```
LaTlCoPb2
1.0
-4.5215 2.4131 0.6613
-1.9661 -2.5818 -4.0216
-1.5246 -3.7145 3.1300
Pb Tl Co La
2 1 1 1
direct
0.0000 0.5000 0.0000
0.5000 0.0000 0.0000
0.5000 0.5000 0.5000
0.0000 0.0000 0.0000
0.0000 0.0000 0.5000
```

Summary:
The space group is P4/mmm (123).



| no. | total energy (Ha/atom) | ΔE_f (eV/atom) |
| --- | --- | --- |
| 1 | -0.1853 | -0.344 |
| 2 | -0.1395 | 0.568 |
| 3 | -0.1668 | -0.175 |